# 1
The following is a PBE calculation of a relaxed NaCa4Pr2 crystal, from the Alexandria database.

abc: 3.812 3.812 22.309
angles: 85.10 85.10 60.00
Atoms (fractional coordinates):
Pr  0.188  0.188  0.436
Ca  0.903  0.903  0.291
Na  0.000  0.000  0.000
Ca  0.097  0.097  0.709
Ca  0.382  0.382  0.854
Ca  0.618  0.618  0.146
Pr  0.812  0.812  0.564

Its total moment is 0.00 μB per cell. The energy of formation from the pure elements is 0.04 eV per atom. The calculation puts the total energy at -18.584 eV per cell.

***

# 2
The following is a PBE calculation of a relaxed Na4CaPr crystal, from the Alexandria database.

abc: 6.719 6.719 6.719
angles: 60.00 60.00 60.00
Atoms (fractional coordinates):
Na  0.124  0.625  0.625
Na  0.625  0.625  0.625
Na  0.625  0.124  0.625
Na  0.625  0.625  0.124
Ca  0.250  0.250  0.250
Pr  0.000  0.000  0.000

Its total moment is 0.00 μB per cell. The energy of formation from the pure elements is 0.18 eV per atom. The calculation puts the total energy at -11.002 eV per cell.

***

# 3
The following is a PBE calculation of a relaxed NaCa2Pr crystal, from the Alexandria database.

abc: 3.814 3.814 12.590
angles: 81.29 81.29 60.00
Atoms (fractional coordinates):
Pr  0.500  0.500  0.500
Ca  0.249  0.249  0.254
Na  0.667  0.667  0.000
Ca  0.085  0.085  0.746

Its energy above the most stable polymorph in this dataset is 0.003 eV per atom. Its total moment is 0.00 μB per cell. The energy of formation from the pure elements is 0.07 eV per atom. The calculation puts the total energy at -9.817 eV per cell.

***

# 4
The following is a PBE calculation of a relaxed NaCa2Pr crystal, from the Alexandria database.

abc: 3.795 3.795 12.687
angles: 81.40 81.40 60.00
Atoms (fractional coordinates):
Ca  0.751  0.751  0.746
Ca  0.249  0.249  0.254
Na  0.000  0.000  0.000
Pr  0.500  0.500  0.500

Its energy above the most stable polymorph in this dataset is 0.000 eV per atom. Its total moment is 0.00 μB per cell. The energy of formation from the pure elements is 0.07 eV per atom. The calculation puts the total energy at -9.830 eV per cell.